DFT (PBE) results for a relaxed La2ZrTc crystal.

a = 5.8406 Å, b = 5.9453 Å, c = 3.2948 Å
α = 78.46°, β = 80.97°, γ = 116.60°
Element x y z (fractional)
Zr: 0.5000 0.5000 0.0000
La: 0.5000 0.0000 0.5000
La: 0.0000 0.0000 0.0000
Tc: 0.0000 0.5000 0.5000

Properties
Energy of formation from the pure elements   422.5 meV/atom
Mass density   8063 kg/m3
Final energy   -27.079 eV/cell
Offset from the most stable computed form   1.66 eV/f.u.


DFT (PBE) results for a relaxed La2Zr2Tc crystal.

a = 7.0068 Å, b = 7.0068 Å, c = 5.2829 Å
α = 90.00°, β = 90.00°, γ = 90.00°
Element x y z (fractional)
Zr: 0.1641 0.6641 0.5000
Zr: 0.8359 0.3359 0.5000
Zr: 0.6641 0.8359 0.5000
Zr: 0.3359 0.1641 0.5000
La: 0.3410 0.8410 0.0000
La: 0.1590 0.3410 0.0000
La: 0.6590 0.1590 0.0000
La: 0.8410 0.6590 0.0000
Tc: 0.5000 0.5000 0.0000
Tc: 0.0000 0.0000 0.0000

Properties
Energy of formation from the pure elements   541.1 meV/atom
Mass density   7148 kg/m3
Final energy   -69.223 eV/cell
Offset from the most stable computed form   2.19 eV/f.u.


DFT (PBE) results for a relaxed LaZr2Tc crystal.

a = 3.3988 Å, b = 3.3988 Å, c = 8.0491 Å
α = 90.00°, β = 90.00°, γ = 90.00°
Element x y z (fractional)
Zr: 0.5000 0.5000 0.2105
Zr: 0.0000 0.0000 0.9652
La: 0.0000 0.0000 0.5406
Tc: 0.5000 0.5000 0.7836

Properties
Energy of formation from the pure elements   20.3 meV/atom
Mass density   7489 kg/m3
Final energy   -32.309 eV/cell
Offset from the most stable computed form   0.52 eV/f.u.


DFT (PBE) results for a relaxed La2ZrTc crystal.

a = 10.1491 Å, b = 10.1491 Å, c = 10.1491 Å
α = 19.94°, β = 19.94°, γ = 19.94°
Element x y z (fractional)
Tc: 0.4938 0.4938 0.4938
La: 0.0059 0.0059 0.0059
La: 0.2327 0.2327 0.2327
Zr: 0.7676 0.7676 0.7676

Properties
Energy of formation from the pure elements   191.6 meV/atom
Mass density   7293 kg/m3
Final energy   -28.002 eV/cell
Offset from the most stable computed form   0.74 eV/f.u.


DFT (PBE) results for a relaxed LaZr2Tc crystal.

a = 5.6982 Å, b = 5.7114 Å, c = 3.1919 Å
α = 80.36°, β = 77.03°, γ = 115.86°
Element x y z (fractional)
Tc: 0.5000 0.5000 0.0000
Zr: 0.5000 0.0000 0.5000
Zr: 0.0000 0.0000 0.0000
La: 0.0000 0.5000 0.5000

Properties
Energy of formation from the pure elements   285.0 meV/atom
Mass density   8020 kg/m3
Final energy   -31.250 eV/cell
Offset from the most stable computed form   1.58 eV/f.u.


DFT (PBE) results for a relaxed LaZr2Tc crystal.

a = 5.0011 Å, b = 5.0011 Å, c = 3.4396 Å
α = 90.00°, β = 90.00°, γ = 90.07°
Element x y z (fractional)
Zr: 0.0000 0.0000 0.0000
Zr: 0.5000 0.5000 0.0000
Tc: 0.0000 0.5000 0.5000
La: 0.5000 0.0000 0.5000

Properties
Energy of formation from the pure elements   267.0 meV/atom
Mass density   8094 kg/m3
Final energy   -31.322 eV/cell
Offset from the most stable computed form   1.51 eV/f.u.


> The highest final energy belongs to which entry?

number 1


> offset from the most stable computed form of number 2 (La2Zr2Tc)?

2.19 eV/f.u.


> What is the formula in the fifth record?

LaZr2Tc


> What is the offset from the most stable computed form in the fourth record?

0.74 eV/f.u.